## Mn2BeCr (PBE)

Data for crystalline Mn2BeCr at its relaxed geometry.

Its space-group type is No. 71. The density of states at the Fermi level is 3.885 states/eV per cell. The value obtained for the formation energy is 48.9 kJ/mol of atoms. The value obtained for the volume is 43.2 Å³ per cell.

extended XYZ file:
```
4
Lattice="-1.184 1.944 4.692 1.184 -1.944 4.692 1.184 1.944 -4.692" Properties=species:S:1:pos:R:3 pbc="T T T"
Mn 0.000 0.000 2.005
Mn 0.000 0.000 7.379
Be 0.000 0.000 0.000
Cr 0.000 0.000 4.692
```


## Mn2BeCr (PBE)

Data for crystalline Mn2BeCr at its relaxed geometry.

Its space-group type is No. 47. The density of states at the Fermi level is 3.967 states/eV per cell. The value obtained for the formation energy is 5.0 kJ/mol of atoms. The value obtained for the volume is 42.4 Å³ per cell.

extended XYZ file:
```
4
Lattice="2.857 0.000 0.000 0.000 3.774 0.000 0.000 0.000 3.932" Properties=species:S:1:pos:R:3 pbc="T T T"
Mn 0.000 0.000 0.000
Mn 1.428 0.000 1.966
Be 0.000 1.887 1.966
Cr 1.428 1.887 0.000
```